*i*
{"formula": "HfRuNF2", "functional": "PBE-GGA", "state": "relaxed", "lattice_angstrom": [[4.298, 0.000, 0.000], [0.000, 4.298, 0.000], [0.000, 0.000, 3.733]], "species": ["Hf", "Ru", "N", "F", "F"], "fractional_positions": [[0.000, 0.000, 0.000], [0.500, 0.500, 0.500], [0.500, 0.500, 0.000], [0.000, 0.500, 0.500], [0.500, 0.000, 0.500]], "space_group": "P4/mmm", "magnetic_moment_mub_per_fu": 0.00, "crystal_system": "tetragonal", "mass_density_g_cm3": 7.98}

*ii*
{"formula": "HfRuNF2", "functional": "PBE-GGA", "state": "relaxed", "lattice_angstrom": [[4.029, 0.000, 0.000], [0.000, 4.029, 0.000], [0.000, 0.000, 4.257]], "species": ["Hf", "Ru", "N", "F", "F"], "fractional_positions": [[0.000, 0.000, 0.000], [0.500, 0.500, 0.000], [0.000, 0.000, 0.500], [0.000, 0.500, 0.500], [0.500, 0.000, 0.500]], "space_group": "P4/mmm", "magnetic_moment_mub_per_fu": 1.42, "crystal_system": "tetragonal", "mass_density_g_cm3": 7.97}

*iii*
{"formula": "HfRuNF2", "functional": "PBE-GGA", "state": "relaxed", "lattice_angstrom": [[4.100, 0.000, 0.000], [0.000, 4.100, 0.000], [0.000, 0.000, 4.272]], "species": ["Hf", "Ru", "N", "F", "F"], "fractional_positions": [[0.000, 0.000, 0.000], [0.500, 0.500, 0.500], [0.000, 0.000, 0.500], [0.000, 0.500, 0.000], [0.500, 0.000, 0.000]], "space_group": "P4/mmm", "magnetic_moment_mub_per_fu": 2.97, "crystal_system": "tetragonal", "mass_density_g_cm3": 7.67}

Name the most stable of them. *iii*.

*i*
{"formula": "HfRuN2F", "functional": "PBE-GGA", "state": "relaxed", "lattice_angstrom": [[4.221, 0.000, 0.000], [0.000, 4.221, 0.000], [0.000, 0.000, 3.964]], "species": ["Hf", "Ru", "N", "N", "F"], "fractional_positions": [[0.000, 0.000, 0.000], [0.500, 0.500, 0.500], [0.000, 0.500, 0.000], [0.500, 0.000, 0.000], [0.000, 0.000, 0.500]], "space_group": "P4/mmm", "magnetic_moment_mub_per_fu": 3.25, "crystal_system": "tetragonal", "mass_density_g_cm3": 7.68}

*ii*
{"formula": "HfRuN2F", "functional": "PBE-GGA", "state": "relaxed", "lattice_angstrom": [[3.933, 0.000, 0.000], [0.000, 3.933, 0.000], [0.000, 0.000, 3.878]], "species": ["Hf", "Ru", "N", "N", "F"], "fractional_positions": [[0.000, 0.000, 0.000], [0.500, 0.500, 0.500], [0.000, 0.500, 0.500], [0.500, 0.000, 0.500], [0.500, 0.500, 0.000]], "space_group": "P4/mmm", "magnetic_moment_mub_per_fu": 0.00, "crystal_system": "tetragonal", "mass_density_g_cm3": 9.04}

Name the most stable of them. *i*.

*i*
{"formula": "HfSNF2", "functional": "PBE-GGA", "state": "relaxed", "lattice_angstrom": [[4.028, 0.000, 0.000], [0.000, 4.028, 0.000], [0.000, 0.000, 4.413]], "species": ["Hf", "S", "N", "F", "F"], "fractional_positions": [[0.000, 0.000, 0.000], [0.500, 0.500, 0.500], [0.000, 0.000, 0.500], [0.000, 0.500, 0.000], [0.500, 0.000, 0.000]], "space_group": "P4/mmm", "magnetic_moment_mub_per_fu": 0.01, "crystal_system": "tetragonal", "mass_density_g_cm3": 6.09}

*ii*
{"formula": "HfSNF2", "functional": "PBE-GGA", "state": "relaxed", "lattice_angstrom": [[4.736, 0.000, 0.000], [0.000, 4.736, 0.000], [0.000, 0.000, 3.264]], "species": ["Hf", "S", "N", "F", "F"], "fractional_positions": [[0.000, 0.000, 0.000], [0.500, 0.500, 0.500], [0.500, 0.500, 0.000], [0.000, 0.500, 0.500], [0.500, 0.000, 0.500]], "space_group": "P4/mmm", "magnetic_moment_mub_per_fu": 0.88, "crystal_system": "tetragonal", "mass_density_g_cm3": 5.96}

Name the most stable of them. *i*.